DFT (PBE) results for a relaxed structure of Mg12CdIn3.

Properties
* space group: P4/mmm (123)
* ΔH_f (0 K): -0.08 eV/atom

Cell lengths 4.482, 4.482, 17.989 Å; angles 90.00, 90.00, 90.00 degrees
Fractional positions:
In 0.000 0.000 0.248
Cd 0.000 0.000 0.000
Mg 0.500 0.000 0.878
Mg 0.000 0.500 0.374
Mg 0.500 0.500 0.000
In 0.000 0.000 0.500
Mg 0.500 0.500 0.500
Mg 0.500 0.500 0.752
Mg 0.000 0.500 0.122
Mg 0.500 0.000 0.374
Mg 0.500 0.000 0.626
Mg 0.500 0.000 0.122
Mg 0.000 0.500 0.626
Mg 0.500 0.500 0.248
In 0.000 0.000 0.752
Mg 0.000 0.500 0.878

---

DFT (PBE) results for a relaxed structure of Mg2Cd3In.

Properties
* space group: C2/c (15)
* offset from the most stable computed form: 7 meV/atom
* ΔH_f (0 K): -0.03 eV/atom

Cell lengths 6.058, 6.058, 7.966 Å; angles 79.46, 79.46, 97.38 degrees
Fractional positions:
Cd 0.836 0.654 0.001
Cd 0.346 0.164 0.499
Cd 0.654 0.836 0.501
Cd 0.587 0.413 0.750
In 0.913 0.087 0.750
Mg 0.376 0.873 0.875
Mg 0.624 0.127 0.125
Cd 0.413 0.587 0.250
In 0.087 0.913 0.250
Mg 0.127 0.624 0.625
Cd 0.164 0.346 0.999
Mg 0.873 0.376 0.375

---

DFT (PBE) results for a relaxed structure of MgCd3In.

Properties
* space group: P2_1/m (11)
* offset from the most stable computed form: 2 meV/atom
* ΔH_f (0 K): 0.03 eV/atom

Cell lengths 5.302, 5.312, 8.746 Å; angles 90.00, 90.00, 97.49 degrees
Fractional positions:
In 0.000 0.000 0.500
Cd 0.362 0.229 0.750
Mg 0.910 0.531 0.750
In 0.000 0.000 0.000
Cd 0.557 0.268 0.420
Cd 0.443 0.732 0.580
Cd 0.557 0.268 0.080
Cd 0.638 0.771 0.250
Mg 0.090 0.469 0.250
Cd 0.443 0.732 0.920

---

DFT (PBE) results for a relaxed structure of Mg12CdIn6.

Properties
* space group: R-3 (148)
* offset from the most stable computed form: 35 meV/atom
* ΔH_f (0 K): 0.02 eV/atom

Cell lengths 7.948, 7.948, 7.948 Å; angles 102.19, 102.19, 102.19 degrees
Fractional positions:
Mg 0.421 0.399 0.814
Mg 0.259 0.990 0.744
In 0.843 0.568 0.813
Mg 0.814 0.421 0.399
In 0.187 0.157 0.432
Mg 0.186 0.579 0.601
Mg 0.010 0.256 0.741
Mg 0.744 0.259 0.990
Mg 0.256 0.741 0.010
In 0.568 0.813 0.843
Mg 0.399 0.814 0.421
In 0.432 0.187 0.157
In 0.157 0.432 0.187
Mg 0.741 0.010 0.256
Mg 0.601 0.186 0.579
In 0.813 0.843 0.568
Cd 0.000 0.000 0.000
Mg 0.990 0.744 0.259
Mg 0.579 0.601 0.186

---

DFT (PBE) results for a relaxed structure of Mg2CdIn8.

Properties
* space group: P4/mmm (123)
* offset from the most stable computed form: 0 meV/atom
* ΔH_f (0 K): 0.00 eV/atom

Cell lengths 4.657, 4.657, 13.313 Å; angles 90.00, 90.00, 90.00 degrees
Fractional positions:
Mg 0.000 0.000 0.669
In 0.000 0.500 0.152
In 0.500 0.000 0.500
In 0.000 0.500 0.848
In 0.500 0.500 0.677
In 0.500 0.000 0.152
Mg 0.000 0.000 0.331
In 0.500 0.500 0.323
In 0.000 0.500 0.500
In 0.500 0.000 0.848
Cd 0.000 0.000 0.000

---

DFT (PBE) results for a relaxed structure of Mg2CdIn.

Properties
* space group: Immm (71)
* ΔH_f (0 K): 0.15 eV/atom

Cell lengths 6.838, 6.838, 6.838 Å; angles 55.31, 153.39, 132.46 degrees
Fractional positions:
Cd 0.000 0.000 0.000
Mg 0.000 0.754 0.754
Mg 0.000 0.246 0.246
In 0.000 0.500 0.500

---

DFT (PBE) results for a relaxed structure of Mg4Cd5In.

Properties
* space group: P4/mmm (123)
* ΔH_f (0 K): -0.05 eV/atom

Cell lengths 3.643, 3.643, 16.906 Å; angles 90.00, 90.00, 90.00 degrees
Fractional positions:
Cd 0.500 0.500 0.695
Cd 0.500 0.500 0.110
Cd 0.500 0.500 0.500
Mg 0.000 0.000 0.793
In 0.000 0.000 0.000
Cd 0.500 0.500 0.305
Mg 0.000 0.000 0.403
Cd 0.500 0.500 0.890
Mg 0.000 0.000 0.207
Mg 0.000 0.000 0.597

---

DFT (PBE) results for a relaxed structure of Mg6CdIn2.

Properties
* space group: P-62m (189)
* offset from the most stable computed form: 0 meV/atom
* ΔH_f (0 K): -0.08 eV/atom

Cell lengths 3.480, 8.264, 8.264 Å; angles 120.00, 90.00, 90.00 degrees
Fractional positions:
Mg 0.000 0.000 0.285
Mg 0.000 0.285 0.000
Mg 0.500 0.000 0.631
Mg 0.500 0.369 0.369
Mg 0.000 0.715 0.715
Cd 0.500 0.000 0.000
Mg 0.500 0.631 0.000
In 0.000 0.667 0.333
In 0.000 0.333 0.667

---

DFT (PBE) results for a relaxed structure of Mg4Cd4In3.

Properties
* space group: P-1 (2)
* ΔH_f (0 K): -0.06 eV/atom

Cell lengths 3.255, 4.421, 17.705 Å; angles 96.31, 95.36, 90.73 degrees
Fractional positions:
Cd 0.092 0.090 0.181
In 0.000 0.000 0.000
Mg 0.183 0.183 0.367
Cd 0.272 0.272 0.544
In 0.637 0.637 0.275
Mg 0.547 0.545 0.092
Mg 0.453 0.455 0.908
Mg 0.817 0.818 0.633
Cd 0.728 0.728 0.456
In 0.363 0.363 0.725
Cd 0.908 0.910 0.819

---

DFT (PBE) results for a relaxed structure of Mg3Cd3In2.

Properties
* space group: R32 (155)
* offset from the most stable computed form: 25 meV/atom
* ΔH_f (0 K): -0.04 eV/atom

Cell lengths 5.723, 5.723, 5.723 Å; angles 94.47, 94.47, 85.53 degrees
Fractional positions:
Cd 0.743 0.500 0.743
Mg 0.000 0.248 0.248
Cd 0.257 0.743 0.500
In 0.244 0.244 0.756
Mg 0.248 0.752 0.000
In 0.756 0.756 0.244
Cd 0.500 0.257 0.257
Mg 0.752 0.000 0.752

---

DFT (PBE) results for a relaxed structure of Mg2Cd7In2.

Properties
* space group: C2/m (12)
* ΔH_f (0 K): 0.00 eV/atom

Cell lengths 8.346, 6.130, 6.130 Å; angles 120.81, 96.05, 96.05 degrees
Fractional positions:
Cd 0.829 0.597 0.050
In 0.791 0.421 0.421
Cd 0.000 0.000 0.000
Cd 0.413 0.191 0.191
Mg 0.500 0.263 0.737
Cd 0.829 0.050 0.597
Cd 0.587 0.809 0.809
Cd 0.171 0.950 0.403
Cd 0.171 0.403 0.950
In 0.209 0.579 0.579
Mg 0.500 0.737 0.263

---

DFT (PBE) results for a relaxed structure of MgCd4In5.

Properties
* space group: C2/m (12)
* ΔH_f (0 K): 0.02 eV/atom

Cell lengths 3.327, 9.964, 8.124 Å; angles 104.18, 101.81, 90.00 degrees
Fractional positions:
Cd 0.676 0.913 0.352
In 0.500 0.500 0.000
Mg 0.500 0.000 0.000
Cd 0.977 0.240 0.954
In 0.841 0.802 0.682
In 0.811 0.412 0.623
Cd 0.023 0.760 0.046
In 0.159 0.198 0.318
In 0.189 0.588 0.377
Cd 0.324 0.087 0.648

---

DFT (PBE) results for a relaxed structure of Mg5Cd2In.

Properties
* space group: I4/mcm (140)
* offset from the most stable computed form: 41 meV/atom
* ΔH_f (0 K): -0.04 eV/atom

Cell lengths 7.461, 7.461, 8.493 Å; angles 116.06, 116.06, 90.00 degrees
Fractional positions:
Cd 0.360 0.860 0.000
Mg 0.000 0.000 0.000
Cd 0.140 0.360 0.000
Cd 0.640 0.140 0.000
In 0.750 0.750 0.500
Mg 0.997 0.497 0.685
Cd 0.860 0.640 0.000
Mg 0.188 0.997 0.685
Mg 0.812 0.003 0.315
Mg 0.312 0.812 0.315
Mg 0.503 0.312 0.315
In 0.250 0.250 0.500
Mg 0.500 0.500 0.000
Mg 0.688 0.188 0.685
Mg 0.497 0.688 0.685
Mg 0.003 0.503 0.315

---

DFT (PBE) results for a relaxed structure of Mg7Cd3In.

Properties
* space group: C2/m (12)
* offset from the most stable computed form: 40 meV/atom
* ΔH_f (0 K): 0.02 eV/atom

Cell lengths 5.404, 7.524, 7.524 Å; angles 89.65, 111.15, 111.15 degrees
Fractional positions:
Cd 0.000 0.773 0.227
Cd 0.000 0.227 0.773
Mg 0.327 0.599 0.053
Mg 0.673 0.401 0.947
Mg 0.812 0.816 0.816
In 0.500 0.500 0.500
Mg 0.327 0.053 0.599
Cd 0.500 0.000 0.000
Mg 0.673 0.947 0.401
Mg 0.000 0.500 0.500
Mg 0.188 0.184 0.184

---

DFT (PBE) results for a relaxed structure of MgCd6In12.

Properties
* space group: R-3 (148)
* offset from the most stable computed form: 16 meV/atom
* ΔH_f (0 K): 0.05 eV/atom

Cell lengths 7.945, 7.945, 7.945 Å; angles 86.48, 93.52, 93.52 degrees
Fractional positions:
In 0.157 0.970 0.628
In 0.528 0.202 0.554
In 0.030 0.628 0.843
In 0.554 0.528 0.798
Cd 0.886 0.264 0.735
In 0.798 0.554 0.472
In 0.843 0.030 0.372
Cd 0.265 0.114 0.264
In 0.372 0.843 0.970
Cd 0.264 0.265 0.886
Cd 0.736 0.735 0.114
In 0.472 0.798 0.446
Mg 0.000 0.000 0.000
In 0.446 0.472 0.202
Cd 0.114 0.736 0.265
Cd 0.735 0.886 0.736
In 0.202 0.446 0.528
In 0.628 0.157 0.030
In 0.970 0.372 0.157

---

DFT (PBE) results for a relaxed structure of Mg2Cd4In3.

Properties
* space group: C2/m (12)
* ΔH_f (0 K): -0.03 eV/atom

Cell lengths 4.485, 5.759, 9.434 Å; angles 71.55, 76.25, 67.08 degrees
Fractional positions:
In 0.333 0.776 0.558
Cd 0.004 0.662 0.330
Mg 0.662 0.897 0.780
In 0.667 0.224 0.442
Cd 0.996 0.338 0.670
In 0.000 0.000 0.000
Cd 0.328 0.453 0.891
Cd 0.672 0.547 0.109
Mg 0.338 0.103 0.220

---

DFT (PBE) results for a relaxed structure of Mg5Cd2In.

Properties
* space group: I4/mmm (139)
* offset from the most stable computed form: 0 meV/atom
* ΔH_f (0 K): -0.08 eV/atom

Cell lengths 4.470, 4.470, 9.478 Å; angles 103.64, 103.64, 90.00 degrees
Fractional positions:
Mg 0.500 0.500 0.000
Mg 0.372 0.872 0.744
Mg 0.872 0.372 0.744
Mg 0.128 0.628 0.256
Cd 0.252 0.252 0.504
In 0.000 0.000 0.000
Mg 0.628 0.128 0.256
Cd 0.748 0.748 0.496

---

DFT (PBE) results for a relaxed structure of MgCdIn.

Properties
* space group: Cmcm (63)
* ΔH_f (0 K): 0.00 eV/atom

Cell lengths 4.925, 5.907, 9.968 Å; angles 90.00, 90.00, 90.00 degrees
Fractional positions:
Cd 0.000 0.750 0.250
Cd 0.000 0.250 0.250
In 0.500 0.000 0.446
Mg 0.000 0.500 0.864
In 0.000 0.000 0.946
In 0.000 0.500 0.554
Cd 0.500 0.750 0.750
Mg 0.500 0.500 0.364
Cd 0.500 0.250 0.750
Mg 0.000 0.000 0.636
Mg 0.500 0.000 0.136
In 0.500 0.500 0.054

---

DFT (PBE) results for a relaxed structure of Mg4Cd4In.

Properties
* space group: I4/mmm (139)
* ΔH_f (0 K): -0.07 eV/atom

Cell lengths 4.400, 7.105, 7.105 Å; angles 84.50, 71.96, 71.96 degrees
Fractional positions:
Cd 0.666 0.334 0.333
Cd 0.000 0.333 0.666
Mg 0.668 0.001 0.664
Mg 0.332 0.999 0.336
Cd 0.334 0.666 0.667
In 0.000 0.000 0.000
Mg 0.668 0.664 0.999
Mg 0.332 0.336 0.001
Cd 0.000 0.667 0.334

---

DFT (PBE) results for a relaxed structure of MgCdIn2.

Properties
* space group: Cmmm (65)
* ΔH_f (0 K): 0.02 eV/atom

Cell lengths 3.274, 3.274, 9.907 Å; angles 90.00, 90.00, 109.84 degrees
Fractional positions:
Cd 0.500 0.500 0.750
In 0.000 0.000 0.002
Mg 0.500 0.500 0.250
In 0.000 0.000 0.498

---

DFT (PBE) results for a relaxed structure of Mg3Cd8In2.

Properties
* space group: R-3m (166)
* offset from the most stable computed form: 57 meV/atom
* ΔH_f (0 K): 0.05 eV/atom

Cell lengths 5.760, 5.760, 11.601 Å; angles 75.63, 75.63, 60.00 degrees
Fractional positions:
In 0.642 0.642 0.075
Mg 0.816 0.816 0.552
Mg 0.184 0.184 0.448
Cd 0.727 0.227 0.320
Cd 0.773 0.273 0.680
Cd 0.227 0.727 0.320
Mg 0.000 0.000 0.000
In 0.358 0.358 0.925
Cd 0.727 0.727 0.320
Cd 0.273 0.773 0.680
Cd 0.727 0.727 0.818
Cd 0.273 0.273 0.182
Cd 0.273 0.273 0.680